[1]
{"formula": "NbReSbOs2", "functional": "PBE", "state": "relaxed", "sg": "P4/mmm, No. 123", "e_tot_ev_per_atom": -7.218, "lattice_angstrom": [[-1.2618, -2.7807, 3.5442], [4.7234, -0.5992, 1.2115], [-0.2535, 3.7186, 2.8273]], "species": ["Re", "Nb", "Os", "Os", "Sb"], "frac_coords": [[0.5000, 0.5000, 0.5000], [0.0000, 0.5000, 0.0000], [0.0000, 0.0000, 0.5000], [0.5000, 0.0000, 0.0000], [0.0000, 0.0000, 0.0000]]}



[2]
{"formula": "ScNbReOs", "functional": "PBE", "state": "relaxed", "sg": "F-43m, No. 216", "formation_enthalpy_0k_ev_per_atom": -0.281, "e_tot_ev_per_atom": -10.301, "lattice_angstrom": [[-0.9299, 2.9229, -3.3358], [-3.7686, -0.5006, -2.4662], [-3.4133, 2.9458, 0.4546]], "species": ["Sc", "Re", "Nb", "Os"], "frac_coords": [[0.5000, 0.5000, 0.5000], [0.7500, 0.7500, 0.7500], [0.0000, 0.0000, 0.0000], [0.2500, 0.2500, 0.2500]]}



[3]
{"formula": "TaNbReOs", "functional": "PBE", "state": "relaxed", "sg": "Pmmm, No. 47", "formation_enthalpy_0k_ev_per_atom": -0.275, "e_tot_ev_per_atom": -11.676, "polymorph_energy_mev_per_atom": 6, "lattice_angstrom": [[3.1870, 0.0000, 0.0000], [0.0000, 4.5129, 0.0000], [0.0000, 0.0000, 4.5391]], "species": ["Ta", "Nb", "Re", "Os"], "frac_coords": [[0.0000, 0.0000, 0.0000], [0.0000, 0.5000, 0.5000], [0.5000, 0.0000, 0.5000], [0.5000, 0.5000, 0.0000]]}



[4]
{"formula": "TaNbReOs", "functional": "PBE", "state": "relaxed", "sg": "F-43m, No. 216", "formation_enthalpy_0k_ev_per_atom": -0.281, "e_tot_ev_per_atom": -11.681, "polymorph_energy_mev_per_atom": 0, "lattice_angstrom": [[4.5197, 0.0000, 0.0000], [2.2598, 3.9142, 0.0000], [2.2598, 1.3047, 3.6903]], "species": ["Re", "Nb", "Os", "Ta"], "frac_coords": [[0.2500, 0.2500, 0.2500], [0.5000, 0.5000, 0.5000], [0.7500, 0.7500, 0.7500], [0.0000, 0.0000, 0.0000]]}